Record 1
Below is an optimized crystal structure of Sc2CuSn2, with properties calculated at the PBE-GGA level.

Results
**Relative energy among the computed polymorphs**: 169 meV per atom
**Size of the total moment**: 0.00 μB/cell
**Energy of formation**: -0.251 eV per atom
**Total DFT energy (no corrections)**: -52.04 eV per cell

abc: 7.122 7.122 4.469
angles: 90.00 90.00 90.00
Fractional coordinates of all 10 atoms:
Sc1 0.160 0.340 0.000
Sc2 0.340 0.840 0.000
Sc3 0.660 0.160 0.000
Sc4 0.840 0.660 0.000
Cu1 0.000 0.000 0.000
Cu2 0.500 0.500 0.000
Sn1 0.151 0.651 0.500
Sn2 0.349 0.151 0.500
Sn3 0.651 0.849 0.500
Sn4 0.849 0.349 0.500

=====

Record 2
Below is an optimized crystal structure of ScCuSn, with properties calculated at the PBE-GGA level.

Results
**Size of the total moment**: 0.00 μB/cell
**Energy of formation**: -0.369 eV per atom
**Total DFT energy (no corrections)**: -31.08 eV per cell

abc: 4.585 4.585 6.313
angles: 90.00 90.00 120.00
Fractional coordinates of all 6 atoms:
Sc1 0.333 0.667 0.000
Sc2 0.667 0.333 0.500
Cu1 0.333 0.667 0.442
Cu2 0.667 0.333 0.942
Sn1 0.000 0.000 0.253
Sn2 0.000 0.000 0.753

=====

Record 3
Below is an optimized crystal structure of ScCu5Sn, with properties calculated at the PBE-GGA level.

Results
**Size of the total moment**: 0.00 μB/cell
**Energy of formation**: -0.198 eV per atom
**Total DFT energy (no corrections)**: -128.80 eV per cell

abc: 8.067 4.919 10.537
angles: 90.00 90.00 90.00
Fractional coordinates of all 28 atoms:
Sc1 0.244 0.250 0.064
Sc2 0.256 0.750 0.564
Sc3 0.744 0.250 0.436
Sc4 0.756 0.750 0.936
Cu1 0.057 0.250 0.599
Cu2 0.069 0.502 0.813
Cu3 0.069 0.998 0.813
Cu4 0.087 0.750 0.017
Cu5 0.185 0.750 0.241
Cu6 0.315 0.250 0.741
Cu7 0.413 0.250 0.517
Cu8 0.431 0.002 0.313
Cu9 0.431 0.498 0.313
Cu10 0.443 0.750 0.099
Cu11 0.557 0.250 0.901
Cu12 0.569 0.502 0.687
Cu13 0.569 0.998 0.687
Cu14 0.587 0.750 0.483
Cu15 0.685 0.750 0.259
Cu16 0.815 0.250 0.759
Cu17 0.913 0.250 0.983
Cu18 0.931 0.002 0.187
Cu19 0.931 0.498 0.187
Cu20 0.943 0.750 0.401
Sn1 0.134 0.250 0.360
Sn2 0.366 0.750 0.860
Sn3 0.634 0.250 0.140
Sn4 0.866 0.750 0.640

=====

Record 4
Below is an optimized crystal structure of ScCuSn, with properties calculated at the PBE-GGA level.

Results
**Size of the total moment**: 0.00 μB/cell
**Energy of formation**: -0.459 eV per atom
**Total DFT energy (no corrections)**: -31.62 eV per cell

abc: 5.602 5.602 5.602
angles: 133.29 105.05 93.13
Fractional coordinates of all 6 atoms:
Sc1 0.000 0.000 0.000
Sc2 0.509 0.009 0.500
Cu1 0.369 0.673 0.695
Cu2 0.978 0.673 0.305
Sn1 0.086 0.339 0.747
Sn2 0.591 0.339 0.253

=====

Record 5
Below is an optimized crystal structure of Sc8CuSn2, with properties calculated at the PBE-GGA level.

Results
**Size of the total moment**: 0.00 μB/cell
**Energy of formation**: -0.295 eV per atom
**Total DFT energy (no corrections)**: -66.00 eV per cell

abc: 9.215 9.215 6.236
angles: 105.48 105.48 29.66
Fractional coordinates of all 11 atoms:
Sc1 0.017 0.017 0.280
Sc2 0.215 0.215 0.810
Sc3 0.353 0.353 0.507
Sc4 0.410 0.410 0.036
Sc5 0.590 0.590 0.964
Sc6 0.647 0.647 0.493
Sc7 0.785 0.785 0.190
Sc8 0.983 0.983 0.720
Cu1 0.500 0.500 0.500
Sn1 0.180 0.180 0.248
Sn2 0.820 0.820 0.752

=====

Record 6
Below is an optimized crystal structure of Sc6Cu5Sn, with properties calculated at the PBE-GGA level.

Results
**Size of the total moment**: 0.00 μB/cell
**Energy of formation**: -0.328 eV per atom
**Total DFT energy (no corrections)**: -66.41 eV per cell

abc: 4.667 6.719 7.362
angles: 90.00 108.18 90.00
Fractional coordinates of all 12 atoms:
Sc1 0.000 0.233 0.000
Sc2 0.000 0.767 0.000
Sc3 0.326 0.240 0.654
Sc4 0.326 0.760 0.654
Sc5 0.674 0.240 0.346
Sc6 0.674 0.760 0.346
Cu1 0.168 0.000 0.329
Cu2 0.168 0.500 0.329
Cu3 0.500 0.000 0.000
Cu4 0.832 0.000 0.671
Cu5 0.832 0.500 0.671
Sn1 0.500 0.500 0.000

=====

Record 7
Below is an optimized crystal structure of ScCuSn, with properties calculated at the PBE-GGA level.

Results
**Size of the total moment**: 0.00 μB/cell
**Energy of formation**: -0.331 eV per atom
**Total DFT energy (no corrections)**: -30.85 eV per cell

abc: 5.150 5.431 5.457
angles: 86.39 62.04 61.74
Fractional coordinates of all 6 atoms:
Sc1 0.000 0.000 0.000
Sc2 0.498 0.723 0.282
Cu1 0.338 0.273 0.553
Cu2 0.837 0.273 0.553
Sn1 0.265 0.382 0.086
Sn2 0.766 0.804 0.663

=====

Record 8
Below is an optimized crystal structure of ScCuSn, with properties calculated at the PBE-GGA level.

Results
**Size of the total moment**: 0.00 μB/cell
**Energy of formation**: -0.433 eV per atom
**Total DFT energy (no corrections)**: -31.46 eV per cell

abc: 7.562 7.562 7.562
angles: 34.04 34.04 34.04
Fractional coordinates of all 6 atoms:
Sc1 0.000 0.000 0.000
Sc2 0.163 0.163 0.163
Cu1 0.408 0.408 0.408
Cu2 0.875 0.875 0.875
Sn1 0.581 0.581 0.581
Sn2 0.748 0.748 0.748

=====

Record 9
Below is an optimized crystal structure of ScTa2CuSn, with properties calculated at the PBE-GGA level.

Results
**Size of the total moment**: 0.00 μB/cell
**Energy of formation**: 1.346 eV per atom
**Total DFT energy (no corrections)**: -31.41 eV per cell

abc: 5.131 5.131 4.625
angles: 90.00 90.00 90.00
Fractional coordinates of all 5 atoms:
Sc1 0.000 0.000 0.000
Ta1 0.000 0.500 0.500
Ta2 0.500 0.000 0.500
Cu1 0.500 0.500 0.000
Sn1 0.500 0.500 0.500

=====

Record 10
Below is an optimized crystal structure of ScCuTcSn, with properties calculated at the PBE-GGA level.

Results
**Size of the total moment**: 0.00 μB/cell
**Energy of formation**: -0.132 eV per atom
**Total DFT energy (no corrections)**: -25.33 eV per cell

abc: 4.583 4.583 4.583
angles: 60.00 60.00 60.00
Fractional coordinates of all 4 atoms:
Sc1 0.000 0.000 0.000
Cu1 0.750 0.750 0.750
Tc1 0.250 0.250 0.250
Sn1 0.500 0.500 0.500

=====

Record 11
Below is an optimized crystal structure of ThScCuSn, with properties calculated at the PBE-GGA level.

Results
**Size of the total moment**: 0.00 μB/cell
**Energy of formation**: -0.270 eV per atom
**Total DFT energy (no corrections)**: -22.93 eV per cell

abc: 5.115 5.115 5.115
angles: 60.00 60.00 60.00
Fractional coordinates of all 4 atoms:
Th1 0.000 0.000 0.000
Sc1 0.500 0.500 0.500
Cu1 0.750 0.750 0.750
Sn1 0.250 0.250 0.250

=====

Record 12
Below is an optimized crystal structure of ZrScCuSn, with properties calculated at the PBE-GGA level.

Results
**Size of the total moment**: 0.00 μB/cell
**Energy of formation**: -0.325 eV per atom
**Total DFT energy (no corrections)**: -24.28 eV per cell

abc: 4.836 4.836 4.836
angles: 60.00 60.00 60.00
Fractional coordinates of all 4 atoms:
Zr1 0.000 0.000 0.000
Sc1 0.500 0.500 0.500
Cu1 0.250 0.250 0.250
Sn1 0.750 0.750 0.750

=====

Number 1: Fermi-level density of states 8.16 states/eV/cell. Number 2: Fermi-level density of states 1.08 states/eV/cell. Number 3: Fermi-level density of states 7.92 states/eV/cell. Number 4: Fermi-level density of states 4.07 states/eV/cell. Number 5: Fermi-level density of states 12.53 states/eV/cell. Number 6: Fermi-level density of states 8.28 states/eV/cell. Number 7: Fermi-level density of states 4.45 states/eV/cell. Number 8: Fermi-level density of states 3.19 states/eV/cell. Number 9: Fermi-level density of states 6.94 states/eV/cell. Number 10: Fermi-level density of states 3.56 states/eV/cell. Number 11: Fermi-level density of states 3.87 states/eV/cell. Number 12: Fermi-level density of states 2.80 states/eV/cell.